Computed, not measured: a relaxed structure of BeTe at the GGA-PBEsol level of DFT.

Values from the calculation:
VASP energy   -5.9 eV per formula unit
DOS(E_F)   3.7 states/eV per cell
Formation energy from raw total energies   0.8187 eV/atom
Energy above the most stable polymorph in this dataset   1164 meV/atom
SG   P6_3/mmc (194)
Total magnetic moment   0.0 μB/cell

Cell: 5.644 5.644 6.502 Å, 90.00 90.00 120.00°
Atoms (fractional coordinates):
Te: 0.000 0.000 0.250
Be: 0.333 0.667 0.102
Be: 0.333 0.667 0.398
Be: 0.667 0.333 0.602
Te: 0.000 0.000 0.750
Be: 0.667 0.333 0.898
Te: 0.333 0.667 0.750
Te: 0.667 0.333 0.250